First-principles (PBE) data for a geometry-optimized CaZrGeO5 structure, as listed in the Alexandria database.

Summary:
symmetry	P-1, No. 2
total energy	-7.699	eV per atom
formation energy (no corrections)	-2705	meV/atom
density of states at the Fermi level	0.000	states/eV/atom

a b c (Å): 5.6473 5.8526 7.5797
angles (deg): 104.40 102.12 107.07
Last column: nearest neighbours and their distance in Å.
Fractional coordinates of all 16 atoms:
Ca 0.1546 0.3184 0.2956  4 O 2.29-2.49
Ca 0.8454 0.6816 0.7044  4 O 2.29-2.49
Zr 0.5000 0.0000 0.0000  6 O 2.07-2.16
Zr 0.5000 0.0000 0.5000  6 O 2.05-2.17
Ge 0.1852 0.3256 0.7484  4 O 1.76-1.79
Ge 0.8148 0.6744 0.2516  4 O 1.76-1.79
O 0.1042 0.7529 0.4428  1 Ge 1.79
O 0.1894 0.1091 0.8734  1 Ge 1.76
O 0.2167 0.6257 0.8938  1 Ge 1.76
O 0.3965 0.0689 0.2485  2 Zr 2.05-2.07, 1 Ca 2.29
O 0.4244 0.3369 0.6253  1 Ge 1.79
O 0.5756 0.6631 0.3747  1 Ge 1.79
O 0.6035 0.9311 0.7515  2 Zr 2.05-2.07, 1 Ca 2.29
O 0.7833 0.3743 0.1062  1 Ge 1.76
O 0.8106 0.8909 0.1266  1 Ge 1.76
O 0.8958 0.2471 0.5572  1 Ge 1.79